Here is a relaxed structure of AcTb2Ce3Se6 from the Alexandria database. Energies are from PBE-GGA.

Cell lengths 7.298, 7.298, 7.325 Å; angles 99.60, 99.60, 120.05 degrees
Element x y z (fractional)
1 Ac 0.000 0.000 0.000
2 Tb 0.332 0.668 0.000
3 Tb 0.668 0.332 0.000
4 Ce 0.160 0.840 0.500
5 Ce 0.840 0.160 0.500
6 Ce 0.500 0.500 0.500
7 Se 0.916 0.568 0.749
8 Se 0.732 0.732 0.243
9 Se 0.084 0.432 0.251
10 Se 0.568 0.916 0.749
11 Se 0.268 0.268 0.757
12 Se 0.432 0.084 0.251

uncorrected formation energy: -1.80 eV per atom


Here is a relaxed structure of Y5HoTmTh2 from the Alexandria database. Energies are from PBE-GGA.

Cell lengths 8.700, 8.700, 9.970 Å; angles 115.87, 115.87, 90.00 degrees
Element x y z (fractional)
1 Y 0.929 0.429 0.281
2 Y 0.648 0.148 0.719
3 Y 0.071 0.571 0.719
4 Y 0.148 0.071 0.719
5 Y 0.571 0.648 0.719
6 Y 0.852 0.929 0.281
7 Y 0.429 0.352 0.281
8 Y 0.352 0.852 0.281
9 Y 0.500 0.500 0.000
10 Y 0.000 0.000 0.000
11 Ho 0.250 0.750 0.500
12 Ho 0.750 0.250 0.500
13 Tm 0.250 0.250 0.500
14 Tm 0.750 0.750 0.500
15 Th 0.120 0.380 0.000
16 Th 0.620 0.120 0.000
17 Th 0.380 0.880 0.000
18 Th 0.880 0.620 0.000

uncorrected energy: -0.2170 hartree per atom


Here is a relaxed structure of NdZn3AgAu from the Alexandria database. Energies are from PBE-GGA.

Cell lengths 5.903, 6.156, 7.292 Å; angles 114.97, 90.00, 90.00 degrees
Element x y z (fractional)
1 Nd 0.750 0.298 0.596
2 Nd 0.250 0.702 0.404
3 Zn 0.250 0.132 0.263
4 Zn 0.000 0.301 0.000
5 Zn 0.500 0.699 0.000
6 Zn 0.500 0.301 0.000
7 Zn 0.000 0.699 0.000
8 Zn 0.750 0.868 0.737
9 Ag 0.250 0.920 0.839
10 Ag 0.750 0.080 0.161
11 Au 0.250 0.340 0.679
12 Au 0.750 0.660 0.321

uncorrected energy: -0.0971 hartree per atom


Here is a relaxed structure of LiMnBe from the Alexandria database. Energies are from PBE-GGA.

Cell lengths 6.187, 6.187, 6.187 Å; angles 158.50, 158.50, 30.58 degrees
Element x y z (fractional)
1 Be 0.010 0.010 0.000
2 Li 0.336 0.336 0.000
3 Mn 0.654 0.654 0.000

energy above the lowest structure with this stoichiometry: 1 meV per atom


Here is a relaxed structure of Sr3SnSb from the Alexandria database. Energies are from PBE-GGA.

Cell lengths 4.601, 9.279, 9.425 Å; angles 93.85, 90.00, 104.35 degrees
Element x y z (fractional)
1 Sr 0.072 0.178 0.384
2 Sr 0.420 0.874 0.624
3 Sr 0.623 0.280 0.797
4 Sr 0.972 0.976 0.037
5 Sr 0.259 0.551 0.032
6 Sr 0.785 0.603 0.390
7 Sn 0.225 0.484 0.647
8 Sn 0.818 0.670 0.775
9 Sb 0.411 0.855 0.274
10 Sb 0.633 0.299 0.148

uncorrected formation energy: -0.72 eV per atom
energy above the lowest structure with this stoichiometry: 0 meV per atom


Here is a relaxed structure of NaLaGdAl from the Alexandria database. Energies are from PBE-GGA.

Cell lengths 5.436, 5.436, 5.436 Å; angles 60.00, 60.00, 60.00 degrees
Element x y z (fractional)
1 Na 0.750 0.750 0.750
2 Gd 0.500 0.500 0.500
3 Al 0.250 0.250 0.250
4 La 0.000 0.000 0.000

uncorrected energy: -0.2235 hartree per atom